## Li2YZn2 (GGA-PBE)

Data for an optimized crystal structure of Li2YZn2.

a b c (Å): 7.7196 7.7196 3.0853
angles (deg): 90.00 90.00 90.00
Last column: nearest neighbours and their distance in Å.
Space group P4/mbm (No. 127)
Asymmetric unit:
1 Li 0.1155 0.3845 0.0000 x4  1 Li 2.52, 6 Zn 2.68-2.82
2 Y 0.0000 0.0000 0.0000 x2  2 Y 3.09, 4 Li 3.10, 8 Zn 3.22
3 Zn 0.1833 0.6833 0.5000 x4  6 Li 2.68-2.82

The total energy is -2.70 eV/atom. As for the energy relative to the lowest polymorph listed for this composition: 68 meV per atom. For the calculated formation energy, the calculation gives -132 meV/atom.